Record 1
## Li2Ni2F7 (PBE+U)

Data for a geometry-optimized Li2Ni2F7 structure.

N(E_F) in states/eV/cell: 5.7
E in eV for the cell shown: -45.97
ΔE to the lowest computed polymorph in meV/atom: 11
Total magnetic moment in μB/atom: 0.455

a = 5.3898 Å, b = 5.3898 Å, c = 5.3028 Å
α = 95.40°, β = 95.40°, γ = 107.66°
Closest atoms and distances in Å follow each position.
Fractional coordinates of all 11 atoms:
Li: 0.1987 0.8013 0.0000  2 F 1.95
Li: 0.8013 0.1987 0.0000  2 F 1.95
Ni: 0.2332 0.2332 0.6128  5 F 1.86-2.07
Ni: 0.7668 0.7668 0.3872  5 F 1.86-2.07
F: 0.0628 0.0628 0.2736  2 Ni 1.95-2.07
F: 0.0935 0.4546 0.8003  1 Ni 1.86, 1 Li 1.95
F: 0.4546 0.0935 0.8003  1 Ni 1.86, 1 Li 1.95
F: 0.5000 0.5000 0.5000  2 Ni 1.89
F: 0.5454 0.9065 0.1997  1 Ni 1.86, 1 Li 1.95
F: 0.9065 0.5454 0.1997  1 Ni 1.86, 1 Li 1.95
F: 0.9372 0.9372 0.7264  2 Ni 1.95-2.07



Record 2
## Li3NiF6 (PBE+U)

Data for a geometry-optimized Li3NiF6 structure.

E in eV for the cell shown: -42.63
ΔE to the lowest computed polymorph in meV/atom: 168
Total magnetic moment in μB/atom: 0.100

a = 5.9741 Å, b = 5.8866 Å, c = 5.0274 Å
α = 65.83°, β = 64.02°, γ = 50.15°
Closest atoms and distances in Å follow each position.
Fractional coordinates of all 10 atoms:
Li: 0.0000 0.0000 0.0000  2 F 1.70
Li: 0.2500 0.2500 0.2500  4 F 2.15
Li: 0.7500 0.7500 0.7500  4 F 2.15
Ni: 0.5000 0.5000 0.5000  6 F 1.84-1.92
F: 0.1753 0.5516 0.8247  1 Ni 1.84
F: 0.2347 0.7653 0.2347  1 Li 1.70
F: 0.4484 0.8247 0.5516  1 Ni 1.84
F: 0.5516 0.1753 0.4484  1 Ni 1.84
F: 0.7653 0.2347 0.7653  1 Li 1.70
F: 0.8247 0.4484 0.1753  1 Ni 1.84